(1)
Here is a relaxed Li3Mg2Hg6 crystal from Alexandria. Energies are from GGA-PBE.

Structure (POSCAR):
```
Li3Mg2Hg6
1.0
-2.239 2.239 12.529
2.239 -2.239 12.529
2.239 2.239 -12.529
Li Mg Hg
3 2 6
Direct
0.000 0.000 0.000
0.129 0.129 0.000
0.871 0.871 0.000
0.350 0.350 0.000
0.650 0.650 0.000
0.064 0.564 0.500
0.234 0.234 0.000
0.436 0.936 0.500
0.564 0.064 0.500
0.766 0.766 0.000
0.936 0.436 0.500
```

Computed properties:
Size of the total moment, μB per formula unit: 0.00
DFT formation energy, eV/atom: -0.137
Fermi-level density of states, states/eV/f.u.: 4.10
Mass density, kg/m3: 8417
E_tot, eV/cell: -12.3


(2)
Here is a relaxed Li2Mg8Hg crystal from Alexandria. Energies are from GGA-PBE.

Structure (POSCAR):
```
Li2Mg8Hg
1.0
7.127 -2.515 0.000
7.127 2.515 0.000
-4.110 0.000 6.538
Li Mg Hg
2 8 1
Direct
0.228 0.228 0.138
0.772 0.772 0.862
0.052 0.052 0.223
0.136 0.136 0.689
0.319 0.319 0.579
0.404 0.404 0.044
0.596 0.596 0.956
0.681 0.681 0.421
0.864 0.864 0.311
0.948 0.948 0.777
0.500 0.500 0.500
```

Computed properties:
Size of the total moment, μB per formula unit: 0.00
DFT formation energy, eV/atom: -0.076
Fermi-level density of states, states/eV/f.u.: 3.38
Relative energy among the computed polymorphs, kJ/mol of atoms: 0.0
Mass density, kg/m3: 2897
E_tot, eV/cell: -17.7


(3)
Here is a relaxed LiMg5Hg8 crystal from Alexandria. Energies are from GGA-PBE.

Structure (POSCAR):
```
LiMg5Hg8
1.0
-4.277 4.277 4.298
4.277 -4.277 4.298
4.277 4.277 -4.298
Li Mg Hg
1 5 8
Direct
0.000 0.000 0.000
0.277 0.171 0.651
0.374 0.723 0.893
0.520 0.626 0.349
0.750 0.250 0.500
0.829 0.480 0.107
0.099 0.358 0.919
0.132 0.389 0.396
0.264 0.868 0.257
0.438 0.180 0.081
0.611 0.007 0.743
0.642 0.562 0.741
0.820 0.901 0.259
0.993 0.736 0.604
```

Computed properties:
Size of the total moment, μB per formula unit: 0.00
DFT formation energy, eV/atom: -0.171
Fermi-level density of states, states/eV/f.u.: 5.26
Mass density, kg/m3: 9150
E_tot, eV/cell: -14.7


(4)
Here is a relaxed Li12MgHg2 crystal from Alexandria. Energies are from GGA-PBE.

Structure (POSCAR):
```
Li12MgHg2
1.0
5.464 0.000 0.000
0.000 5.464 0.000
0.000 0.000 21.001
Li Mg Hg
24 2 4
Direct
0.000 0.000 0.112
0.000 0.000 0.888
0.000 0.500 0.112
0.000 0.500 0.888
0.066 0.566 0.440
0.066 0.934 0.560
0.250 0.250 0.209
0.250 0.250 0.330
0.250 0.250 0.670
0.250 0.250 0.791
0.434 0.566 0.560
0.434 0.934 0.440
0.500 0.000 0.112
0.500 0.000 0.888
0.500 0.500 0.112
0.500 0.500 0.888
0.566 0.066 0.560
0.566 0.434 0.440
0.750 0.750 0.209
0.750 0.750 0.330
0.750 0.750 0.670
0.750 0.750 0.791
0.934 0.066 0.440
0.934 0.434 0.560
0.250 0.750 0.000
0.750 0.250 0.000
0.250 0.750 0.228
0.250 0.750 0.772
0.750 0.250 0.228
0.750 0.250 0.772
```

Computed properties:
Size of the total moment, μB per formula unit: 0.00
DFT formation energy, eV/atom: 0.027
Fermi-level density of states, states/eV/f.u.: 4.59
Mass density, kg/m3: 2695
E_tot, eV/cell: -49.5


(5)
Here is a relaxed Li5Mg5Hg2 crystal from Alexandria. Energies are from GGA-PBE.

Structure (POSCAR):
```
Li5Mg5Hg2
1.0
7.022 -2.431 0.000
7.022 2.431 0.000
-4.464 0.000 6.930
Li Mg Hg
5 5 2
Direct
0.000 0.000 0.000
0.074 0.074 0.397
0.245 0.245 0.213
0.755 0.755 0.787
0.926 0.926 0.603
0.320 0.320 0.646
0.408 0.408 0.074
0.500 0.500 0.500
0.592 0.592 0.926
0.680 0.680 0.354
0.154 0.154 0.794
0.846 0.846 0.206
```

Computed properties:
Size of the total moment, μB per formula unit: 0.00
DFT formation energy, eV/atom: -0.177
Fermi-level density of states, states/eV/f.u.: 4.17
Mass density, kg/m3: 3911
E_tot, eV/cell: -20.3


(6)
Here is a relaxed Li2MgHg4 crystal from Alexandria. Energies are from GGA-PBE.

Structure (POSCAR):
```
Li2MgHg4
1.0
-2.677 2.677 6.974
2.677 -2.677 6.974
2.677 2.677 -6.974
Li Mg Hg
2 1 4
Direct
0.096 0.096 0.000
0.904 0.904 0.000
0.500 0.500 0.000
0.000 0.500 0.500
0.289 0.289 0.000
0.500 0.000 0.500
0.711 0.711 0.000
```

Computed properties:
Size of the total moment, μB per formula unit: 0.00
DFT formation energy, eV/atom: -0.030
Fermi-level density of states, states/eV/f.u.: 3.91
Relative energy among the computed polymorphs, kJ/mol of atoms: 21.9
Mass density, kg/m3: 6981
E_tot, eV/cell: -6.8


(7)
Here is a relaxed Li12MgHg3 crystal from Alexandria. Energies are from GGA-PBE.

Structure (POSCAR):
```
Li12MgHg3
1.0
4.260 0.000 0.000
0.000 4.260 0.000
0.000 0.000 16.127
Li Mg Hg
12 1 3
Direct
0.000 0.000 0.000
0.000 0.000 0.243
0.000 0.000 0.500
0.000 0.000 0.757
0.000 0.500 0.122
0.000 0.500 0.365
0.000 0.500 0.635
0.000 0.500 0.878
0.500 0.000 0.122
0.500 0.000 0.365
0.500 0.000 0.635
0.500 0.000 0.878
0.500 0.500 0.500
0.500 0.500 0.000
0.500 0.500 0.246
0.500 0.500 0.754
```

Computed properties:
Size of the total moment, μB per formula unit: 0.00
DFT formation energy, eV/atom: -0.206
Fermi-level density of states, states/eV/f.u.: 4.84
Mass density, kg/m3: 4026
E_tot, eV/cell: -28.8


(8)
Here is a relaxed Li4Mg7Hg crystal from Alexandria. Energies are from GGA-PBE.

Structure (POSCAR):
```
Li4Mg7Hg
1.0
7.029 -2.618 0.000
7.029 2.618 0.000
-4.128 0.000 7.232
Li Mg Hg
4 7 1
Direct
0.055 0.055 0.193
0.177 0.177 0.862
0.823 0.823 0.138
0.945 0.945 0.807
0.000 0.000 0.500
0.266 0.266 0.238
0.311 0.311 0.631
0.416 0.416 0.065
0.584 0.584 0.935
0.689 0.689 0.369
0.734 0.734 0.762
0.500 0.500 0.500
```

Computed properties:
Size of the total moment, μB per formula unit: 0.00
DFT formation energy, eV/atom: 0.020
Fermi-level density of states, states/eV/f.u.: 4.99
Mass density, kg/m3: 2486
E_tot, eV/cell: -18.9